8
Lattice="4.790 0.000 0.000 0.000 4.790 0.000 2.395 2.395 8.675" Properties=species:S:1:pos:R:3 comment="In2NiSb PBE relaxed" e_form_raw_mev_per_atom=213 energy_ev_per_atom=-3.6317 m_tot_mub_per_cell=0.000 vol_a3_per_atom=24.88 dos_at_fermi_per_ev_fu=2.63 pbc="T T T"
Ni 2.395 2.395 0.000
Ni 2.395 4.790 4.338
In 3.592 3.960 6.506
In 3.225 1.197 2.169
In 5.987 5.620 6.506
In 1.565 3.592 2.169
Sb 4.790 2.395 4.338
Sb 0.000 0.000 0.000